<a>
Density functional theory data (PBE) for a geometry-optimized Ba3Na2O structure.

Structure (extended XYZ):
```
12
Lattice="-0.259 -5.772 9.684 -5.634 -5.335 3.235 3.997 -9.755 1.174" Properties=species:S:1:pos:R:3 pbc="T T T"
Ba 0.161 -12.232 6.032
Ba -0.007 -2.022 3.105
Ba -2.057 -8.630 8.061
Ba -1.909 -5.735 3.224
Ba 0.014 -15.127 10.868
Ba 3.745 -13.505 7.753
Na 0.000 0.000 0.000
Na 1.869 -7.764 5.429
Na -2.232 -9.588 4.232
Na 0.336 -11.274 9.861
O -4.261 -7.552 8.516
O -1.632 -3.554 4.403
```

=====

<b>
Density functional theory data (PBE) for a geometry-optimized Ba3Na2O structure.

Structure (extended XYZ):
```
12
Lattice="-1.230 7.087 2.967 -7.180 0.552 -2.946 -5.827 -1.655 7.694" Properties=species:S:1:pos:R:3 pbc="T T T"
Ba -6.884 2.063 0.719
Ba -7.352 3.921 6.996
Ba -12.324 5.120 7.526
Ba -4.340 0.570 4.519
Ba -9.896 5.414 3.196
Ba -1.913 0.864 0.189
Na -8.215 0.790 4.063
Na -3.228 3.895 2.276
Na -11.008 2.089 5.438
Na -6.022 5.194 3.652
O -5.987 5.420 8.352
O -8.250 0.564 -0.637
```

=====

Least stable = <a>

=====

<a>
Density functional theory data (PBE) for a geometry-optimized BaNa6O4 structure.

Structure (extended XYZ):
```
22
Lattice="-1.302 -6.489 -4.752 7.467 0.813 -3.157 2.094 -3.404 4.075" Properties=species:S:1:pos:R:3 pbc="T T T"
Ba 3.082 -2.838 -3.955
Ba 1.047 -1.702 2.037
Na 2.820 -3.335 -0.238
Na 2.267 -6.091 -2.256
Na 4.739 -1.228 0.378
Na 5.786 -2.930 2.415
Na 5.991 -2.989 -1.579
Na 5.438 -5.745 -3.597
Na 4.856 -4.471 -6.230
Na 5.605 -0.737 -3.496
Na -0.610 -3.312 -2.295
Na 0.437 -5.014 -0.258
Na 0.560 -4.938 -4.413
Na 1.309 -1.205 -1.680
O 3.538 -2.278 2.142
O 3.222 -5.372 -4.278
O 3.920 -1.892 -1.729
O 7.000 -1.901 0.678
O 6.690 -5.230 -1.677
O -0.395 -5.657 -2.391
O 0.209 -2.648 -0.188
O 2.685 -5.666 0.016
```

=====

<b>
Density functional theory data (PBE) for a geometry-optimized BaNa6O4 structure.

Structure (extended XYZ):
```
44
Lattice="-6.046 -6.569 -4.471 1.773 -2.952 9.372 -4.348 8.988 0.108" Properties=species:S:1:pos:R:3 pbc="T T T"
Ba -2.167 -0.134 1.259
Ba -4.526 -4.917 -3.347
Ba -3.255 6.728 0.081
Ba 1.327 -2.210 7.016
Na -4.483 4.091 1.463
Na -1.594 -1.544 5.836
Na -5.495 1.676 2.666
Na -4.162 -0.924 4.684
Na -2.847 1.571 3.906
Na -3.371 2.815 -0.923
Na -0.479 -2.825 3.454
Na -4.450 -5.159 3.861
Na -7.679 1.140 -1.027
Na -5.975 3.353 -2.033
Na -1.580 -5.220 4.619
Na -3.326 -2.816 2.614
Na -5.052 0.551 0.002
Na -3.554 3.049 6.277
Na -1.668 3.603 2.092
Na -0.109 0.563 4.451
Na -6.393 -0.475 -3.159
Na -3.504 -6.110 1.213
Na -3.803 -1.146 -2.089
Na -2.470 -3.746 -0.071
Na -5.284 -3.250 -0.698
Na -2.285 5.060 4.501
Na -0.779 2.122 6.780
Na -5.865 -1.712 1.669
O -3.442 2.057 1.407
O -1.941 -0.871 3.678
O 0.000 0.000 0.000
O -2.137 -4.760 2.451
O -5.197 1.209 -2.182
O -4.841 1.408 5.013
O -4.632 4.900 -1.018
O -0.198 -3.749 5.693
O -5.309 -2.879 3.751
O -6.996 0.411 1.198
O -5.446 -2.555 -3.212
O -3.945 -5.482 -0.941
O -2.715 5.787 2.376
O 0.218 0.065 6.815
O -1.287 3.018 4.740
O -3.858 -1.757 0.284
```

=====

Least stable = <b>

=====

<a>
Density functional theory data (PBE) for a geometry-optimized BaNaPO2 structure.

Structure (extended XYZ):
```
5
Lattice="4.912 0.000 0.000 0.000 4.912 0.000 0.000 0.000 6.356" Properties=species:S:1:pos:R:3 pbc="T T T"
P 0.000 0.000 3.178
Ba 0.000 0.000 0.000
O 0.000 2.456 0.000
O 2.456 0.000 0.000
Na 2.456 2.456 3.178
```

=====

<b>
Density functional theory data (PBE) for a geometry-optimized BaNaPO2 structure.

Structure (extended XYZ):
```
5
Lattice="-3.805 1.502 2.098 -1.081 -4.322 1.133 2.551 0.484 4.281" Properties=species:S:1:pos:R:3 pbc="T T T"
P 1.276 0.242 2.140
Ba -1.168 -1.168 3.756
O -0.541 -2.161 0.567
O -1.903 0.751 1.049
Na 0.000 0.000 0.000
```

=====

Least stable = <a>

=====

<a>
Density functional theory data (PBE) for a geometry-optimized Ba2NaPdO structure.

Structure (extended XYZ):
```
5
Lattice="-2.987 -4.518 0.520 3.780 -2.120 3.290 -2.146 1.839 3.650" Properties=species:S:1:pos:R:3 pbc="T T T"
O 0.000 0.000 0.000
Na -1.073 0.919 1.825
Ba 1.890 -1.060 1.645
Ba -1.493 -2.259 0.260
Pd -0.677 -2.400 3.730
```

=====

<b>
Density functional theory data (PBE) for a geometry-optimized Ba2NaPdO structure.

Structure (extended XYZ):
```
5
Lattice="-5.424 2.617 0.753 -1.783 -3.278 -1.450 -0.332 -2.300 5.606" Properties=species:S:1:pos:R:3 pbc="T T T"
O -0.891 -1.639 -0.725
Na 0.000 0.000 0.000
Ba -0.166 -1.150 2.803
Ba -2.712 1.308 0.376
Pd -3.769 -1.481 2.454
```

=====

Least stable = <b>

=====

<a>
Density functional theory data (PBE) for a geometry-optimized Ba4NaRu3O12 structure.

Structure (extended XYZ):
```
40
Lattice="5.876 0.000 0.000 -2.938 5.088 0.000 0.000 0.000 19.469" Properties=species:S:1:pos:R:3 pbc="T T T"
Ba 0.000 0.000 2.286
Ba 0.000 0.000 12.021
Ba 0.000 3.392 7.262
Ba 2.938 1.696 16.997
Ba 2.938 1.696 9.723
Ba 0.000 3.392 19.458
Ba 0.000 3.392 14.514
Ba 2.938 1.696 4.779
Na 0.000 3.392 10.895
Na 2.938 1.696 1.160
Ru 0.000 0.000 5.816
Ru 0.000 0.000 15.550
Ru 0.000 0.000 8.485
Ru 0.000 0.000 18.220
Ru 0.000 3.392 3.574
Ru 2.938 1.696 13.309
O 0.000 1.684 4.756
O 4.417 0.842 14.491
O 1.458 0.842 14.491
O 1.479 4.246 4.756
O -1.479 4.246 4.756
O 2.938 3.404 14.491
O 1.337 0.772 7.087
O 0.000 1.544 16.822
O -1.601 4.316 16.822
O 4.538 0.772 7.087
O 2.938 3.544 7.087
O 1.601 4.316 16.822
O 0.000 1.592 9.507
O 4.497 0.796 19.242
O 1.379 0.796 19.242
O 1.559 4.292 9.507
O -1.559 4.292 9.507
O 2.938 3.496 19.242
O 1.587 2.476 12.235
O -1.350 2.613 2.500
O 0.000 4.951 2.500
O 2.938 0.137 12.235
O 4.288 2.476 12.235
O 1.350 2.613 2.500
```

=====

<b>
Density functional theory data (PBE) for a geometry-optimized Ba4NaRu3O12 structure.

Structure (extended XYZ):
```
20
Lattice="7.125 0.000 0.000 -2.375 6.717 0.000 -2.375 -3.359 5.817" Properties=species:S:1:pos:R:3 pbc="T T T"
Ba 1.187 1.679 2.909
Ba -1.187 -1.679 2.909
Ba 3.562 0.000 0.000
Ba -1.187 3.359 0.000
Na 0.000 0.000 0.000
Ru 2.375 -1.679 2.909
Ru 2.375 3.359 0.000
Ru -2.375 1.679 2.909
O -1.187 0.840 4.363
O 3.463 -2.448 4.241
O 1.287 -0.910 1.576
O 3.562 2.519 1.454
O 3.463 4.897 0.000
O 1.287 1.820 0.000
O 3.562 0.000 2.909
O -1.187 3.359 2.909
O 1.187 -0.840 4.363
O -3.463 2.448 4.241
O 1.187 4.198 1.454
O -1.287 0.910 1.576
```

=====

Least stable = <b>

=====

<a>
Density functional theory data (PBE) for a geometry-optimized Ba3NaRu2O9 structure.

Structure (extended XYZ):
```
60
Lattice="-2.888 -2.237 -4.709 3.674 -9.377 2.201 -11.655 -2.599 8.381" Properties=species:S:1:pos:R:3 pbc="T T T"
Ba -8.740 -1.953 6.287
Ba 0.759 -10.024 4.295
Ba -5.348 -10.414 4.455
Ba -2.398 -7.287 4.931
Ba -8.366 -7.711 5.021
Ba -8.950 -11.218 7.045
Ba -1.918 -2.995 -1.172
Ba 1.436 -6.432 2.174
Ba -9.417 -5.544 8.408
Ba -2.503 -6.502 0.852
Ba -5.520 -3.799 1.418
Ba -5.583 -4.689 5.651
Na 0.393 -5.807 -1.254
Na 0.000 0.000 0.000
Na -5.434 -7.107 2.936
Na -5.827 -1.300 4.191
Ru -8.458 -4.361 3.487
Ru -2.693 -4.015 3.558
Ru -0.166 -9.351 0.772
Ru -0.674 -3.565 2.107
Ru -2.411 -9.852 2.386
Ru -7.307 -8.411 8.476
Ru -10.702 -4.862 5.101
Ru -5.288 -7.961 7.024
O -3.753 -8.565 2.598
O -5.461 -6.649 0.701
O -7.323 -2.949 3.896
O -8.684 -4.002 1.678
O -6.693 -9.467 6.802
O -1.099 -5.280 3.182
O -6.966 -8.771 2.632
O -3.894 -9.214 6.764
O 0.033 -7.720 -0.124
O -9.087 -8.385 7.817
O -2.665 -3.576 1.534
O -3.903 -5.443 3.241
O -0.224 -4.622 0.596
O -12.402 -4.832 4.352
O -2.195 -9.391 0.384
O -0.744 -10.990 1.905
O -5.408 -7.564 5.172
O 0.174 -10.435 -0.698
O -7.574 -10.035 9.411
O -10.124 -3.224 3.968
O -8.673 -4.823 5.489
O -4.087 -2.762 3.818
O -10.644 -9.591 5.277
O -4.175 -4.746 -0.929
O -11.042 -3.778 6.571
O -6.881 -6.696 7.400
O 1.534 -9.382 1.521
O -10.901 -6.493 5.997
O -9.938 -5.802 3.427
O -0.407 -1.942 1.172
O -3.545 -11.265 1.976
O -1.782 -5.829 -1.944
O -8.204 -10.637 4.339
O -7.116 -5.649 3.275
O -0.931 -8.411 2.446
O -2.185 -10.211 4.195
```

=====

<b>
Density functional theory data (PBE) for a geometry-optimized Ba3NaRu2O9 structure.

Structure (extended XYZ):
```
15
Lattice="-1.264 5.086 2.551 -3.869 -2.515 -3.561 -2.865 -3.521 5.601" Properties=species:S:1:pos:R:3 pbc="T T T"
Ba -4.887 -2.299 2.163
Ba 0.000 0.000 0.000
Ba -3.111 1.349 2.428
Na -1.433 -1.760 2.800
Ru -3.458 -0.544 -0.629
Ru -4.540 -0.406 5.220
O -3.707 1.294 5.316
O -5.493 0.133 3.673
O -3.124 -1.053 4.139
O -4.874 0.103 0.452
O -2.505 -1.083 0.918
O -4.291 -2.244 -0.725
O -0.632 2.543 1.276
O -1.935 -1.258 -1.780
O -2.566 1.285 -0.505
```

=====

Least stable = <b>

=====

<a>
Density functional theory data (PBE) for a geometry-optimized Ba3NaSi2O8 structure.

Structure (extended XYZ):
```
28
Lattice="5.884 -0.042 0.000 -2.960 5.086 0.000 0.000 0.000 14.928" Properties=species:S:1:pos:R:3 pbc="T T T"
Ba -2.743 4.960 3.732
Ba 5.667 0.084 11.196
Ba 2.877 1.702 13.751
Ba 0.047 3.342 1.177
Ba 0.047 3.342 6.287
Ba 2.877 1.702 8.640
Na 0.000 0.000 7.464
Na 0.000 0.000 0.000
Si 2.986 1.639 5.371
Si -0.062 3.405 9.557
Si -0.062 3.405 12.835
Si 2.986 1.639 2.093
O 1.714 0.838 6.037
O 4.380 0.831 5.661
O 3.048 3.141 6.037
O 1.211 4.206 8.891
O -1.455 4.213 9.267
O -0.124 1.904 8.891
O 1.211 4.206 13.501
O -1.455 4.213 13.125
O -0.124 1.904 13.501
O 1.714 0.838 1.427
O 4.380 0.831 1.803
O 3.048 3.141 1.427
O 2.670 1.822 3.732
O 0.254 3.222 11.196
O 3.249 1.486 11.196
O -0.324 3.558 3.732
```

=====

<b>
Density functional theory data (PBE) for a geometry-optimized Ba3NaSi2O8 structure.

Structure (extended XYZ):
```
14
Lattice="5.837 0.000 0.000 -2.919 5.055 0.000 0.000 0.000 7.488" Properties=species:S:1:pos:R:3 pbc="T T T"
Ba 0.000 3.370 4.939
Ba 2.919 1.685 2.548
Ba 0.000 0.000 0.000
Na 0.000 0.000 3.744
Si 0.000 3.370 1.637
Si 2.919 1.685 5.851
O 0.000 3.370 0.006
O 2.919 1.685 7.482
O -1.333 4.140 2.242
O 4.251 0.916 5.246
O 0.000 1.831 2.242
O 2.919 3.224 5.246
O 1.333 4.140 2.242
O 1.586 0.916 5.246
```

=====

Least stable = <a>

=====

<a>
Density functional theory data (PBE) for a geometry-optimized BaNa3Os structure.

Structure (extended XYZ):
```
5
Lattice="5.579 0.000 0.000 0.000 5.579 0.000 0.000 0.000 5.579" Properties=species:S:1:pos:R:3 pbc="T T T"
Na 0.000 2.789 0.000
Na 0.000 0.000 2.789
Na 2.789 0.000 0.000
Os 0.000 0.000 0.000
Ba 2.789 2.789 2.789
```

=====

<b>
Density functional theory data (PBE) for a geometry-optimized BaNa3Os structure.

Structure (extended XYZ):
```
5
Lattice="-0.376 5.041 3.308 -5.876 -1.050 0.933 1.353 -3.160 4.968" Properties=species:S:1:pos:R:3 pbc="T T T"
Na -2.938 -0.525 0.466
Na 0.677 -1.580 2.484
Na -0.188 2.520 1.654
Os -2.449 0.416 4.604
Ba 0.000 0.000 0.000
```

=====

Least stable = <b>